No. 1
## Rb2PtS (PBE)

Data for an optimized crystal structure of Rb2PtS.

Summary:
E_form (uncorrected)   -505 meV/atom
Total magnetic moment   0.000 μB/atom

Cell and atoms, written as CIF:
```
data_Rb2PtS
_chemical_formula_sum 'Rb8 Pt4 S4'
_symmetry_space_group_name_H-M 'I -4 2 d'
_symmetry_Int_Tables_number 122
_symmetry_space_group_name_Hall 'I -4 2bw'
_cell_length_a 12.699
_cell_length_b 12.699
_cell_length_c 4.512
_cell_angle_alpha 90.00
_cell_angle_beta 90.00
_cell_angle_gamma 90.00
loop_
_atom_site_label
_atom_site_type_symbol
_atom_site_fract_x
_atom_site_fract_y
_atom_site_fract_z
Rb1 Rb 0.029 0.250 0.125
Pt1 Pt 0.000 0.000 0.500
S1 S 0.000 0.000 0.000
```

---

No. 2
## Rb2Pt4S (PBE)

Data for an optimized crystal structure of Rb2Pt4S.

Summary:
E_form (uncorrected)   325 meV/atom
Total magnetic moment   0.000 μB/atom

Cell and atoms, written as CIF:
```
data_Rb2Pt4S
_chemical_formula_sum 'Rb4 Pt8 S2'
_symmetry_space_group_name_H-M 'I 4/m m m'
_symmetry_Int_Tables_number 139
_symmetry_space_group_name_Hall '-I 4 2'
_cell_length_a 4.615
_cell_length_b 4.615
_cell_length_c 17.962
_cell_angle_alpha 90.00
_cell_angle_beta 90.00
_cell_angle_gamma 90.00
loop_
_atom_site_label
_atom_site_type_symbol
_atom_site_fract_x
_atom_site_fract_y
_atom_site_fract_z
Rb1 Rb 0.000 0.000 0.166
Pt1 Pt 0.000 0.000 0.377
Pt2 Pt 0.000 0.500 0.000
S1 S 0.000 0.000 0.500
```

---

No. 3
## RbPtS (PBE)

Data for an optimized crystal structure of RbPtS.

Summary:
E_form (uncorrected)   -572 meV/atom
Total magnetic moment   0.000 μB/atom

Cell and atoms, written as CIF:
```
data_RbPtS
_chemical_formula_sum 'Rb1 Pt1 S1'
_symmetry_space_group_name_H-M 'P -6 m 2'
_symmetry_Int_Tables_number 187
_symmetry_space_group_name_Hall 'P -6 2'
_cell_length_a 4.0656
_cell_length_b 4.0656
_cell_length_c 5.3734
_cell_angle_alpha 90.00
_cell_angle_beta 90.00
_cell_angle_gamma 120.00
loop_
_atom_site_label
_atom_site_type_symbol
_atom_site_fract_x
_atom_site_fract_y
_atom_site_fract_z
Rb1 Rb 0.0000 0.0000 0.0000
Pt1 Pt 0.6667 0.3333 0.5000
S1 S 0.3333 0.6667 0.5000
```

---

No. 4
## Rb2PtS2 (PBE)

Data for an optimized crystal structure of Rb2PtS2.

Summary:
E_form (uncorrected)   -887 meV/atom
Total magnetic moment   0.000 μB/atom

Cell and atoms, written as CIF:
```
data_Rb2PtS2
_chemical_formula_sum 'Rb4 Pt2 S4'
_symmetry_space_group_name_H-M 'P b a m'
_symmetry_Int_Tables_number 55
_symmetry_space_group_name_Hall '-P 2 2ab'
_cell_length_a 7.136
_cell_length_b 10.575
_cell_length_c 3.655
_cell_angle_alpha 90.00
_cell_angle_beta 90.00
_cell_angle_gamma 90.00
loop_
_atom_site_label
_atom_site_type_symbol
_atom_site_fract_x
_atom_site_fract_y
_atom_site_fract_z
Rb1 Rb 0.073 0.170 0.000
Pt1 Pt 0.000 0.500 0.000
S1 S 0.193 0.435 0.500
```

---

Please write out number 3 again, unchanged.
## RbPtS (PBE)

Data for an optimized crystal structure of RbPtS.

Summary:
E_form (uncorrected)   -572 meV/atom
Total magnetic moment   0.000 μB/atom

Cell and atoms, written as CIF:
```
data_RbPtS
_chemical_formula_sum 'Rb1 Pt1 S1'
_symmetry_space_group_name_H-M 'P -6 m 2'
_symmetry_Int_Tables_number 187
_symmetry_space_group_name_Hall 'P -6 2'
_cell_length_a 4.0656
_cell_length_b 4.0656
_cell_length_c 5.3734
_cell_angle_alpha 90.00
_cell_angle_beta 90.00
_cell_angle_gamma 120.00
loop_
_atom_site_label
_atom_site_type_symbol
_atom_site_fract_x
_atom_site_fract_y
_atom_site_fract_z
Rb1 Rb 0.0000 0.0000 0.0000
Pt1 Pt 0.6667 0.3333 0.5000
S1 S 0.3333 0.6667 0.5000
```

---

Question: Which of these has the highest E_form (uncorrected)?
Answer: Rb2Pt4S